# 1
{"formula": "CePmHo2P4", "functional": "GGA-PBE", "state": "relaxed", "magmom_total_mub_per_cell": 0.435, "total_energy_ev_per_atom": -6.759, "e_form_mev_per_atom": -1574, "lattice_angstrom": [[4.049, 0.000, 0.000], [0.000, 6.995, -0.138], [0.000, 2.461, 6.566]], "species": ["Ce", "Ho", "Ho", "P", "P", "P", "P", "Pm"], "frac_coords": [[0.000, 0.500, 0.500], [0.500, 0.000, 0.500], [0.000, 0.000, 0.000], [0.000, 0.756, 0.744], [0.500, 0.244, 0.749], [0.000, 0.244, 0.256], [0.500, 0.756, 0.251], [0.500, 0.500, 0.000]]}

=====

# 2
{"formula": "Ce3PmHo4P8", "functional": "GGA-PBE", "state": "relaxed", "magmom_total_mub_per_cell": 1.445, "total_energy_ev_per_atom": -6.826, "e_form_mev_per_atom": -1567, "lattice_angstrom": [[-1.856, -7.844, 0.675], [6.788, -1.245, 4.189], [-5.281, 5.629, 2.421]], "species": ["P", "P", "P", "P", "P", "P", "P", "P", "Ho", "Ho", "Ho", "Ho", "Pm", "Ce", "Ce", "Ce"], "frac_coords": [[0.253, 0.755, 0.506], [0.251, 0.245, 0.998], [0.253, 0.755, 0.002], [0.752, 0.755, 0.503], [0.747, 0.245, 0.494], [0.747, 0.245, 0.998], [0.248, 0.245, 0.497], [0.749, 0.755, 0.002], [0.500, 0.000, 0.000], [0.000, 0.000, 0.000], [0.000, 0.000, 0.500], [0.500, 0.000, 0.500], [0.000, 0.500, 0.000], [0.500, 0.500, 0.000], [0.000, 0.500, 0.500], [0.500, 0.500, 0.500]]}

=====

# 3
{"formula": "Ce2PmHoP4", "functional": "GGA-PBE", "state": "relaxed", "magmom_total_mub_per_cell": 0.989, "total_energy_ev_per_atom": -6.900, "e_form_mev_per_atom": -1545, "lattice_angstrom": [[-2.356, -1.016, -3.165], [-4.826, -2.600, 4.428], [-4.564, 5.088, 1.763]], "species": ["P", "P", "P", "P", "Ho", "Pm", "Ce", "Ce"], "frac_coords": [[0.000, 0.752, 0.745], [0.500, 0.749, 0.255], [0.000, 0.248, 0.255], [0.500, 0.251, 0.745], [0.000, 0.500, 0.500], [0.500, 0.500, 0.000], [0.500, 0.000, 0.500], [0.000, 0.000, 0.000]]}

=====

# 4
{"formula": "CePm2HoP4", "functional": "GGA-PBE", "state": "relaxed", "magmom_total_mub_per_cell": 0.375, "total_energy_ev_per_atom": -6.770, "e_form_mev_per_atom": -1564, "lattice_angstrom": [[4.083, 0.000, 0.000], [0.000, 7.056, 0.124], [0.000, -2.465, 6.630]], "species": ["Ce", "P", "P", "P", "P", "Pm", "Pm", "Ho"], "frac_coords": [[0.500, 0.500, 0.000], [0.000, 0.749, 0.243], [0.500, 0.753, 0.759], [0.500, 0.247, 0.241], [0.000, 0.251, 0.757], [0.000, 0.500, 0.500], [0.500, 0.000, 0.500], [0.000, 0.000, 0.000]]}

=====

# 5
{"formula": "Ce3PmHo2P6", "functional": "GGA-PBE", "state": "relaxed", "magmom_total_mub_per_cell": 1.474, "total_energy_ev_per_atom": -6.896, "e_form_mev_per_atom": -1549, "lattice_angstrom": [[7.038, -0.001, 0.000], [-3.519, 6.096, 0.000], [-1.174, -2.033, 6.620]], "species": ["Pm", "Ce", "Ce", "Ce", "Ho", "Ho", "P", "P", "P", "P", "P", "P"], "frac_coords": [[0.000, 0.000, 0.000], [0.500, 0.500, 0.500], [0.166, 0.834, 0.500], [0.834, 0.166, 0.500], [0.667, 0.333, 0.000], [0.333, 0.667, 0.000], [0.744, 0.744, 0.248], [0.256, 0.256, 0.752], [0.422, 0.083, 0.249], [0.083, 0.422, 0.249], [0.917, 0.578, 0.751], [0.578, 0.917, 0.751]]}

=====

# 6
{"formula": "Ce3PrHo2P6", "functional": "GGA-PBE", "state": "relaxed", "magmom_total_mub_per_cell": 1.476, "total_energy_ev_per_atom": -6.886, "e_form_mev_per_atom": -1536, "lattice_angstrom": [[-5.573, 3.279, 2.835], [1.430, -6.688, 1.754], [5.184, 3.265, 3.481]], "species": ["P", "P", "P", "P", "P", "P", "Ce", "Ce", "Ce", "Ho", "Ho", "Pr"], "frac_coords": [[0.916, 0.575, 0.749], [0.425, 0.084, 0.251], [0.084, 0.425, 0.251], [0.742, 0.742, 0.249], [0.258, 0.258, 0.751], [0.575, 0.916, 0.749], [0.500, 0.500, 0.500], [0.835, 0.165, 0.500], [0.165, 0.835, 0.500], [0.333, 0.667, 0.000], [0.667, 0.333, 0.000], [0.000, 0.000, 0.000]]}

=====

# 7
{"formula": "CePrHo2P4", "functional": "GGA-PBE", "state": "relaxed", "magmom_total_mub_per_cell": 0.459, "total_energy_ev_per_atom": -6.745, "e_form_mev_per_atom": -1557, "lattice_angstrom": [[-0.839, 1.508, -3.684], [4.695, -4.377, -2.860], [-3.185, -6.040, -1.747]], "species": ["Ce", "Ho", "Ho", "P", "P", "P", "P", "Pr"], "frac_coords": [[0.000, 0.500, 0.500], [0.500, 0.000, 0.500], [0.000, 0.000, 0.000], [0.000, 0.241, 0.258], [0.000, 0.759, 0.742], [0.500, 0.757, 0.252], [0.500, 0.243, 0.748], [0.500, 0.500, 0.000]]}

=====

# 8
{"formula": "Ce3Ho2PuP6", "functional": "GGA-PBE", "state": "relaxed", "magmom_total_mub_per_cell": 6.769, "total_energy_ev_per_atom": -7.624, "e_form_mev_per_atom": -1478, "lattice_angstrom": [[7.001, -0.001, 0.000], [-3.500, 6.063, 0.000], [-1.167, -2.021, 6.586]], "species": ["P", "P", "P", "P", "P", "P", "Ho", "Ho", "Ce", "Ce", "Ce", "Pu"], "frac_coords": [[0.251, 0.251, 0.755], [0.918, 0.586, 0.755], [0.414, 0.082, 0.245], [0.749, 0.749, 0.245], [0.082, 0.414, 0.245], [0.586, 0.918, 0.755], [0.667, 0.333, 0.000], [0.333, 0.667, 0.000], [0.500, 0.500, 0.500], [0.833, 0.167, 0.500], [0.167, 0.833, 0.500], [0.000, 0.000, 0.000]]}